Entry from Alexandria via LeMat-Bulk: a relaxed structure of KMoP2 (PBE).

Geometry as POSCAR:
```
KMoP2
1.0
3.543 0.000 0.000
-1.771 3.068 0.000
0.000 0.000 7.608
K Mo P
1 1 2
direct
0.000 0.000 0.000
0.333 0.667 0.500
0.667 0.333 0.319
0.667 0.333 0.681
```

Summary:
* polymorph energy (0 for the lowest one): 0.00 eV/f.u.
* symmetry: No. 187
* total moment: 0.000 μB per atom
* electronic total energy: -5.9901 eV/atom
* DFT formation energy: -303 meV/atom